The following is a PBE-GGA calculation of a geometry-optimized NiIr6Rh structure, from Alexandria.

## Properties
For the theoretical density, the calculation gives 19.3 g cm⁻³. As for the space-group type: No. 123. The calculation puts the total energy at -8.2502 eV/atom.

Cell: 3.8441 3.8441 7.6565 Å, 90.00 90.00 90.00°
Sites, in units of the cell vectors:
Ni 0.0000 0.0000 0.0000
Ir 0.0000 0.5000 0.2480
Ir 0.0000 0.5000 0.7520
Ir 0.5000 0.0000 0.2480
Ir 0.5000 0.0000 0.7520
Ir 0.5000 0.5000 0.0000
Ir 0.5000 0.5000 0.5000
Rh 0.0000 0.0000 0.5000